a) Entry from the Alexandria database: crystalline YTlIr2 at its relaxed geometry (PBE).

The space group is Fm-3m (No. 225) and the conventional cell measures 6.7305, 6.7305 and 6.7305 Å, with angles of 90.00, 90.00 and 90.00 degrees. The inequivalent atoms are Y at (0.0000, 0.0000, 0.0000), Tl at (0.0000, 0.0000, 0.5000) and Ir at (0.2500, 0.2500, 0.2500).

As for the density of states at the Fermi level: 0.594 states/eV/f.u. Its crystal system is cubic.

---

b) Entry from the Alexandria database: crystalline YTlIr2 at its relaxed geometry (PBE).

The space group is P4/mmm (No. 123) and the conventional cell measures 4.4585, 4.4585 and 3.7952 Å, with angles of 90.00, 90.00 and 90.00 degrees. The inequivalent atoms are Y at (0.0000, 0.0000, 0.0000), Tl at (0.5000, 0.5000, 0.0000) and Ir at (0.0000, 0.5000, 0.5000).

As for the density of states at the Fermi level: 0.547 states/eV/f.u. Its crystal system is tetragonal.

---

The calculated energies rank the structures as follows, beginning with the most stable: b), a).

---

a) Entry from the Alexandria database: crystalline LaCuRe2 at its relaxed geometry (PBE).

The space group is P4/mmm (No. 123) and the conventional cell measures 2.7284, 2.7284 and 9.2945 Å, with angles of 90.00, 90.00 and 90.00 degrees. The inequivalent atoms are La at (0.0000, 0.0000, 0.0000), Cu at (0.0000, 0.0000, 0.5000) and Re at (0.5000, 0.5000, 0.2945).

As for the density of states at the Fermi level: 3.709 states/eV/f.u. Its crystal system is tetragonal.

---

b) Entry from the Alexandria database: crystalline LaCuRe2 at its relaxed geometry (PBE).

The space group is Cmmm (No. 65) and the conventional cell measures 5.0773, 6.7178 and 4.6955 Å, with angles of 90.00, 90.00 and 90.00 degrees. The inequivalent atoms are La at (0.0000, 0.0000, 0.0000), Cu at (0.0000, 0.5000, 0.0000) and Re at (0.0000, 0.3218, 0.5000).

As for the density of states at the Fermi level: 2.653 states/eV/f.u. Its crystal system is orthorhombic.

---

The calculated energies rank the structures as follows, beginning with the most stable: b), a).

---

a) Entry from the Alexandria database: crystalline Zr2CdBr at its relaxed geometry (PBE).

The space group is Pm (No. 6) and the conventional cell measures 3.2688, 5.1437 and 5.6883 Å, with angles of 90.00, 105.43 and 90.00 degrees. The inequivalent atoms are Zr at (0.0000, 0.0000, 0.0000), Zr at (0.3268, 0.5000, 0.6706), Cd at (0.7155, 0.0000, 0.4770) and Br at (0.0222, 0.5000, 0.0835).

As for the density of states at the Fermi level: 4.414 states/eV/f.u. Its crystal system is monoclinic.

---

b) Entry from the Alexandria database: crystalline Zr2CdBr at its relaxed geometry (PBE).

The space group is Immm (No. 71) and the conventional cell measures 3.2067, 5.6736 and 10.1538 Å, with angles of 90.00, 90.00 and 90.00 degrees. The inequivalent atoms are Zr at (0.0000, 0.0000, 0.2312), Cd at (0.0000, 0.5000, 0.0000) and Br at (0.0000, 0.5000, 0.5000).

As for the density of states at the Fermi level: 3.475 states/eV/f.u. Its crystal system is orthorhombic.

---

The calculated energies rank the structures as follows, beginning with the most stable: a), b).

---

a) Entry from the Alexandria database: crystalline LiScCd4 at its relaxed geometry (PBE).

The space group is C2/m (No. 12) and the conventional cell measures 10.5242, 4.8672 and 6.4096 Å, with angles of 90.00, 127.35 and 90.00 degrees. The inequivalent atoms are Li at (0.0000, 0.0000, 0.0000), Sc at (0.0000, 0.0000, 0.5000), Cd at (0.1675, 0.5000, 0.4186) and Cd at (0.1677, 0.5000, 0.9173).

As for the density of states at the Fermi level: 3.821 states/eV/f.u. Its crystal system is monoclinic.

---

b) Entry from the Alexandria database: crystalline LiScCd4 at its relaxed geometry (PBE).

The space group is C2/m (No. 12) and the conventional cell measures 10.0542, 3.1900 and 8.6543 Å, with angles of 90.00, 115.02 and 90.00 degrees. The inequivalent atoms are Li at (0.0000, 0.0000, 0.0000), Sc at (0.0000, 0.0000, 0.5000), Cd at (0.1634, 0.5000, 0.3244) and Cd at (0.1660, 0.5000, 0.8390).

As for the density of states at the Fermi level: 2.817 states/eV/f.u. Its crystal system is monoclinic.

---

The calculated energies rank the structures as follows, beginning with the most stable: b), a).